Record 1
7
Lattice="2.537 1.465 10.113 -2.537 1.465 10.113 0.000 -2.929 10.113" Properties=species:S:1:pos:R:3 comment="HoTm4In2 | the Alexandria database | PBE-GGA | optimized geometry" delta_e_f_ev_per_atom=0.078 de_polymorph_mev_per_atom=159 pbc="T T T"
Ho 0.000 0.000 0.000
Tm 0.000 0.000 6.210
Tm 0.000 0.000 11.789
Tm 0.000 0.000 18.548
Tm 0.000 0.000 24.128
In 0.000 0.000 3.052
In 0.000 0.000 27.286

=====

Record 2
12
Lattice="4.624 0.000 0.000 0.000 4.624 0.000 0.000 0.000 13.867" Properties=species:S:1:pos:R:3 comment="Ho2TmIn9 | the Alexandria database | PBE-GGA | optimized geometry" delta_e_f_ev_per_atom=-0.388 pbc="T T T"
Ho 0.000 0.000 2.314
Ho 0.000 0.000 11.553
Tm 0.000 0.000 6.934
In 0.000 2.312 0.000
In 0.000 2.312 4.634
In 0.000 2.312 9.233
In 2.312 0.000 0.000
In 2.312 0.000 4.634
In 2.312 0.000 9.233
In 2.312 2.312 2.313
In 2.312 2.312 6.934
In 2.312 2.312 11.554

=====

Record 3
4
Lattice="1.771 1.022 10.857 -1.771 1.022 10.857 0.000 -2.044 10.857" Properties=species:S:1:pos:R:3 comment="Ho2TmIn | the Alexandria database | PBE-GGA | optimized geometry" delta_e_f_ev_per_atom=-0.147 de_polymorph_mev_per_atom=115 pbc="T T T"
Ho 0.000 0.000 0.000
Ho 0.000 0.000 5.664
Tm 0.000 0.000 13.686
In 0.000 0.000 19.111

=====

Across the entries above, density of states at the Fermi level takes the values 1.192 0.383 1.146 states/eV/atom, respectively.
Across the entries above, V takes the values 32.20 24.71 29.48 A^3/atom, respectively.